A plane-wave DFT calculation with PBE-GGA was carried out for a relaxed PdPt8Rh2 crystal.

a = 7.669 Å, b = 12.159 Å, c = 5.182 Å
α = 90.00°, β = 131.69°, γ = 90.00°
Space group C2/m (No. 12)
Inequivalent atoms, fractional coordinates:
Pd 0.000 0.000 0.000 [2 per cell]
Pt 0.000 0.224 0.000 [4 per cell]
Pt 0.091 0.500 0.822 [4 per cell]
Pt 0.207 0.113 0.598 [8 per cell]
Rh 0.000 0.306 0.500 [4 per cell]

Values from the calculation:
The calculation puts the total energy at -132.2 eV/cell. For the total magnetization, the calculation gives 0.000 μB/f.u. For the calculated formation energy, the calculation gives 19 kJ per mole of atoms. As for the crystal system: monoclinic. The calculation puts the density of states at the Fermi level at 17.0 states/eV/f.u.

A plane-wave DFT calculation with PBE-GGA was carried out for a relaxed ScNCl2 crystal.

a = 4.081 Å, b = 4.081 Å, c = 16.885 Å
α = 90.00°, β = 90.00°, γ = 90.00°
Space group I-42d (No. 122)
Inequivalent atoms, fractional coordinates:
Sc 0.000 0.000 0.000 [4 per cell]
N 0.000 0.000 0.500 [4 per cell]
Cl 0.247 0.250 0.125 [8 per cell]

Values from the calculation:
The calculation puts the total energy at -72.2 eV/cell. For the formation energy (no corrections), the calculation gives 0.076 eV per atom. For the total magnetization, the calculation gives 0.000 μB/f.u. As for the crystal system: tetragonal. The calculation puts the density of states at the Fermi level at 0.4 states/eV/f.u.

A plane-wave DFT calculation with PBE-GGA was carried out for a relaxed Li2TaW crystal.

a = 4.585 Å, b = 4.585 Å, c = 2.737 Å
α = 90.00°, β = 90.00°, γ = 90.00°
Space group P4/mmm (No. 123)
Inequivalent atoms, fractional coordinates:
Li 0.000 0.500 0.000 [2 per cell]
Ta 0.000 0.000 0.500 [1 per cell]
W 0.500 0.500 0.500 [1 per cell]

Values from the calculation:
The calculation puts the total energy at -25.3 eV/cell. For the total magnetization, the calculation gives 0.000 μB/f.u. For the calculated formation energy, the calculation gives 81 kJ per mole of atoms. As for the crystal system: tetragonal. The calculation puts the density of states at the Fermi level at 3.2 states/eV/f.u.

Number 1: calculated density 17.24 g/cm3. Number 2: calculated density 3.07 g/cm3. Number 3: calculated density 10.93 g/cm3.